Here is a geometry-optimized ScC structure from Alexandria via LeMat-Bulk. Energies are from PBE-GGA.

Unit cell a=5.111 b=5.111 c=5.111 alpha=90.00 beta=90.00 gamma=90.00
Space group F-43m (No. 216)
One atom of each set of equivalent atoms:
Sc: 0.000 0.000 0.000 (multiplicity 4)
C: 0.250 0.250 0.250 (multiplicity 4)

Values from the calculation:
Energy above the most stable polymorph in this dataset: 935 meV/atom
Raw total energy: -58.4 eV per cell
Crystal system: cubic
Formation energy from the elements: 474 meV/atom